[1]
Computed, not measured: a relaxed Er4ZnAg crystal at the GGA-PBE level of DFT.

abc: 4.914 4.914 7.046
angles: 90.00 90.00 90.00
Space group P4/mmm (No. 123)
Asymmetric unit:
Er  0.000  0.500  0.245 [4 per cell]
Zn  0.000  0.000  0.000 [1 per cell]
Ag  0.500  0.500  0.500 [1 per cell]

Calculated values
* crystal system: tetragonal

[2]
Computed, not measured: a relaxed CaCu10Ag crystal at the GGA-PBE level of DFT.

abc: 4.102 4.916 8.676
angles: 90.00 90.00 90.00
Space group Pmmm (No. 47)
Asymmetric unit:
Ca  0.000  0.000  0.000 [1 per cell]
Cu  0.000  0.000  0.343 [2 per cell]
Cu  0.000  0.500  0.183 [2 per cell]
Cu  0.500  0.000  0.500 [1 per cell]
Cu  0.500  0.250  0.254 [4 per cell]
Cu  0.500  0.500  0.000 [1 per cell]
Ag  0.000  0.500  0.500 [1 per cell]

Calculated values
* crystal system: orthorhombic

[3]
Computed, not measured: a relaxed ThZn8Fe4 crystal at the GGA-PBE level of DFT.

abc: 8.840 8.840 4.984
angles: 90.00 90.00 90.00
Space group I4/mmm (No. 139)
Asymmetric unit:
Th  0.000  0.000  0.000 [2 per cell]
Zn  0.000  0.230  0.500 [8 per cell]
Zn  0.000  0.345  0.000 [8 per cell]
Fe  0.250  0.250  0.250 [8 per cell]

Calculated values
* crystal system: tetragonal

DFT formation energy, record by record: 0.36 -0.10 -1.44 kcal/mol of atoms
DOS(E_F), record by record: 0.92 0.33 0.89 states/eV per atom